Computed, not measured: Zr2Ga2Os at its PBEsol-relaxed geometry at the meta-GGA SCAN level of DFT.

Geometry as POSCAR:
```
Zr2Ga2Os
1.0
-2.483 1.285 -2.508
-4.897 -0.583 4.549
1.168 6.277 2.061
Zr Ga Os
4 4 2
direct
0.500 0.826 0.326 Zr
0.500 0.326 0.174 Zr
0.500 0.174 0.674 Zr
0.500 0.674 0.826 Zr
0.000 0.870 0.630 Ga
0.000 0.370 0.870 Ga
0.000 0.130 0.370 Ga
0.000 0.630 0.130 Ga
0.000 0.500 0.500 Os
0.000 0.000 0.000 Os
```

Results
DFT formation energy: -697 meV per atom
space group: P4/mbm (127)
VASP energy: -338.91 eV per cell



Computed, not measured: TiNbGeRh2 at its PBEsol-relaxed geometry at the meta-GGA SCAN level of DFT.

Geometry as POSCAR:
```
TiNbGeRh2
1.0
-3.701 -0.945 2.186
-0.967 -3.095 -2.976
2.335 -3.199 2.570
Rh Ti Ge Nb
2 1 1 1
direct
0.500 0.000 0.000 Rh
0.000 0.500 0.000 Rh
0.500 0.500 0.500 Ti
0.000 0.000 0.000 Ge
0.000 0.000 0.500 Nb
```

Results
DFT formation energy: 432 meV per atom
space group: P4/mmm (123)
VASP energy: -133.63 eV per cell



Computed, not measured: NaYGa3 at its PBEsol-relaxed geometry at the meta-GGA SCAN level of DFT.

Geometry as POSCAR:
```
NaYGa3
1.0
5.461 0.000 0.000
0.000 5.461 0.000
0.000 0.000 5.461
Y Ga Na
1 3 1
direct
0.000 0.000 0.000 Y
0.000 0.000 0.500 Ga
0.000 0.500 0.000 Ga
0.500 0.000 0.000 Ga
0.500 0.500 0.500 Na
```

Results
DFT formation energy: 458 meV per atom
space group: Pm-3m (221)
VASP energy: -78.81 eV per cell



Computed, not measured: MnFe3O at its PBEsol-relaxed geometry at the meta-GGA SCAN level of DFT.

Geometry as POSCAR:
```
MnFe3O
1.0
3.794 0.000 0.000
0.000 3.794 0.000
0.000 0.000 3.794
Mn O Fe
1 1 3
direct
0.500 0.500 0.500 Mn
0.000 0.000 0.000 O
0.000 0.000 0.500 Fe
0.000 0.500 0.000 Fe
0.500 0.000 0.000 Fe
```

Results
raw formation energy: -0.278 eV per atom
space group: Pm-3m (221)
VASP energy: -80.27 eV per cell



Computed, not measured: BeZnTc2 at its PBEsol-relaxed geometry at the meta-GGA SCAN level of DFT.

Geometry as POSCAR:
```
BeZnTc2
1.0
2.558 0.008 0.013
-0.687 4.742 0.002
-0.687 -2.211 4.195
Tc Be Zn
2 1 1
direct
0.000 0.000 0.500 Tc
0.000 0.500 0.000 Tc
0.500 0.500 0.500 Be
0.500 0.000 0.000 Zn
```

Results
distance to the lowest polymorph of the same formula: 0.214 eV/atom
DFT formation energy: 93 meV per atom
space group: C2/m (12)
VASP energy: -87.62 eV per cell



Computed, not measured: Cr3IrPd at its PBEsol-relaxed geometry at the meta-GGA SCAN level of DFT.

Geometry as POSCAR:
```
Cr3IrPd
1.0
-4.200 -1.833 0.134
1.387 -2.940 3.232
-1.207 3.001 3.248
Cr Ir Pd
3 1 1
direct
0.500 0.000 0.000 Cr
0.000 0.000 0.500 Cr
0.000 0.500 0.000 Cr
0.000 0.000 0.000 Ir
0.500 0.500 0.500 Pd
```

Results
DFT formation energy: 923 meV per atom
space group: Pm-3m (221)
VASP energy: -154.41 eV per cell



Computed, not measured: LiW3F at its PBEsol-relaxed geometry at the meta-GGA SCAN level of DFT.

Geometry as POSCAR:
```
LiW3F
1.0
-0.782 1.121 -3.972
-4.117 -0.495 0.670
-0.289 4.018 1.191
Li F W
1 1 3
direct
0.000 0.000 0.000 Li
0.500 0.500 0.500 F
0.000 0.500 0.000 W
0.500 0.000 0.000 W
0.000 0.000 0.500 W
```

Results
raw formation energy: 2.078 eV per atom
space group: Pm-3m (221)
VASP energy: -204.60 eV per cell



Computed, not measured: Mn2SiC2 at its PBEsol-relaxed geometry at the meta-GGA SCAN level of DFT.

Geometry as POSCAR:
```
Mn2SiC2
1.0
-1.304 -0.817 -2.247
2.335 -0.986 -0.997
-1.591 -4.127 4.074
Si Mn C
1 2 2
direct
0.000 0.000 0.000 Si
0.625 0.625 0.250 Mn
0.375 0.375 0.750 Mn
0.750 0.250 0.500 C
0.250 0.750 0.500 C
```

Results
raw formation energy: 0.326 eV per atom
space group: I4/mmm (139)
VASP energy: -65.10 eV per cell



Computed, not measured: YScTl2 at its PBEsol-relaxed geometry at the meta-GGA SCAN level of DFT.

Geometry as POSCAR:
```
YScTl2
1.0
-1.207 -3.470 -0.402
3.132 -0.626 -3.999
3.687 -1.647 3.145
Sc Tl Y
1 2 1
direct
0.500 0.500 0.125 Sc
0.000 0.500 0.625 Tl
0.000 0.000 0.125 Tl
0.500 0.000 0.625 Y
```

Results
DFT formation energy: -505 meV per atom
space group: P4/mmm (123)
VASP energy: -188.82 eV per cell



Computed, not measured: FeCuRh2 at its PBEsol-relaxed geometry at the meta-GGA SCAN level of DFT.

Geometry as POSCAR:
```
FeCuRh2
1.0
-0.906 0.509 -2.425
-1.598 -3.971 1.198
-3.237 2.732 1.783
Rh Cu Fe
2 1 1
direct
0.746 0.493 0.749 Rh
0.254 0.507 0.251 Rh
0.500 0.000 0.000 Cu
0.000 0.000 0.500 Fe
```

Results
DFT formation energy: -64 meV per atom
space group: C2/m (12)
VASP energy: -101.13 eV per cell



Computed, not measured: SrLiAg at its PBEsol-relaxed geometry at the meta-GGA SCAN level of DFT.

Geometry as POSCAR:
```
SrLiAg
1.0
4.252 0.000 0.000
0.000 4.659 0.000
0.000 -2.329 4.035
Li Sr Ag
1 1 1
direct
0.000 0.333 0.667 Li
0.500 0.667 0.333 Sr
0.000 0.000 0.000 Ag
```

Results
distance to the lowest polymorph of the same formula: 0.000 eV/atom
DFT formation energy: -205 meV per atom
space group: P-6m2 (187)
VASP energy: -56.65 eV per cell



Computed, not measured: YHg2Au at its PBEsol-relaxed geometry at the meta-GGA SCAN level of DFT.

Geometry as POSCAR:
```
YHg2Au
1.0
-0.616 3.941 -1.574
-1.883 1.171 3.670
4.195 1.344 1.724
Y Au Hg
1 1 2
direct
0.500 0.500 0.500 Y
0.000 0.000 0.500 Au
0.500 0.000 0.000 Hg
0.000 0.500 0.000 Hg
```

Results
DFT formation energy: -542 meV per atom
space group: P4/mmm (123)
VASP energy: -235.50 eV per cell